1.
{
  "formula": "NdTmPdRu",
  "functional": "PBE-GGA",
  "state": "optimized geometry",
  "total_magnetization_mub_per_cell": 0.0,
  "space_group": "F-43m, No. 216",
  "crystal_system": "cubic",
  "dos_at_fermi_per_ev_cell": 2.478,
  "ef_mev_per_atom": -554,
  "lattice": [[4.931, 0.000, 0.000], [2.465, 4.270, 0.000], [2.465, 1.423, 4.026]],
  "species": ["Ru", "Tm", "Pd", "Nd"],
  "frac_coords": [[0.250, 0.250, 0.250], [0.500, 0.500, 0.500], [0.750, 0.750, 0.750], [0.000, 0.000, 0.000]]
}

=====

2.
{
  "formula": "Nd2Zn5PdRu2",
  "functional": "PBE-GGA",
  "state": "optimized geometry",
  "total_magnetization_mub_per_cell": 0.0,
  "space_group": "P4/mbm, No. 127",
  "crystal_system": "tetragonal",
  "dos_at_fermi_per_ev_cell": 12.969,
  "ef_mev_per_atom": -237,
  "lattice": [[3.423, 0.000, 0.000], [0.000, 10.289, 0.000], [0.000, 0.000, 10.289]],
  "species": ["Pd", "Pd", "Zn", "Zn", "Zn", "Zn", "Zn", "Zn", "Zn", "Zn", "Zn", "Zn", "Ru", "Ru", "Ru", "Ru", "Nd", "Nd", "Nd", "Nd"],
  "frac_coords": [[0.000, 0.500, 0.500], [0.000, 0.000, 0.000], [0.500, 0.553, 0.691], [0.500, 0.947, 0.191], [0.500, 0.191, 0.053], [0.500, 0.809, 0.947], [0.500, 0.500, 0.000], [0.500, 0.447, 0.309], [0.500, 0.691, 0.447], [0.500, 0.000, 0.500], [0.500, 0.309, 0.553], [0.500, 0.053, 0.809], [0.000, 0.368, 0.132], [0.000, 0.868, 0.368], [0.000, 0.632, 0.868], [0.000, 0.132, 0.632], [0.000, 0.319, 0.819], [0.000, 0.819, 0.681], [0.000, 0.181, 0.319], [0.000, 0.681, 0.181]]
}